Entry 1:
NiRu2Pb | PBEsol | optimized geometry

a = 3.976 Å, b = 3.976 Å, c = 4.688 Å
α = 115.09°, β = 115.09°, γ = 90.00°
Each line ends with the local moment (μB).
Fractional positions:
Ru  0.250  0.750  0.500  0.42
Ru  0.750  0.250  0.500  0.42
Pb  0.000  0.000  0.000  -0.01
Ni  0.500  0.500  0.000  0.39

Calculated values
Magnetization (μB/f.u.): 1.23
Energy of formation (eV/atom): 0.52
ρ (g/cm³): 13.11
Density of states at the Fermi level (states/eV per cell): 6.054

=====

Entry 2:
Ni3Pb2S2 | PBEsol | optimized geometry

a = 6.850 Å, b = 6.850 Å, c = 6.850 Å
α = 109.47°, β = 109.47°, γ = 109.47°
Fractional positions:
S  0.465  0.465  0.965
S  0.035  0.000  0.000
S  0.000  0.500  0.535
S  0.500  0.035  0.500
Ni  0.250  0.739  0.489
Ni  0.739  0.989  0.750
Ni  0.989  0.250  0.239
Ni  0.511  0.750  0.261
Ni  0.761  0.511  0.250
Ni  0.750  0.761  0.011
Pb  0.488  0.000  0.000
Pb  0.000  0.500  0.988
Pb  0.012  0.012  0.512
Pb  0.500  0.488  0.500

Calculated values
Uncorrected energy (Ry/atom): -0.3966
Magnetization (μB/f.u.): 0.00
ρ (g/cm³): 8.78
Density of states at the Fermi level (states/eV per cell): 5.623

=====

Entry 3:
Ni3Pb2S2 | PBEsol | optimized geometry

a = 5.524 Å, b = 5.524 Å, c = 5.524 Å
α = 60.28°, β = 60.28°, γ = 60.28°
Fractional positions:
Pb  0.000  0.000  0.000
Pb  0.500  0.500  0.500
Ni  0.000  0.500  0.000
Ni  0.000  0.000  0.500
Ni  0.500  0.000  0.000
S  0.274  0.274  0.274
S  0.726  0.726  0.726

Calculated values
Uncorrected energy (Ry/atom): -0.3967
Magnetization (μB/f.u.): 0.00
ρ (g/cm³): 9.06
Density of states at the Fermi level (states/eV per cell): 4.252

=====

Entry 4:
TaNiPb2S | PBEsol | optimized geometry

a = 4.682 Å, b = 4.945 Å, c = 4.945 Å
α = 90.00°, β = 90.00°, γ = 90.00°
Each line ends with the local moment (μB).
Fractional positions:
Pb  0.000  0.000  0.500  -0.01
Pb  0.000  0.500  0.000  -0.01
S  0.500  0.500  0.500  -0.02
Ni  0.000  0.000  0.000  0.04
Ta  0.500  0.000  0.000  0.76

Calculated values
Uncorrected energy (Ry/atom): -0.4003
Magnetization (μB/f.u.): 1.09
ρ (g/cm³): 9.95
Density of states at the Fermi level (states/eV per cell): 4.587

=====

Entry 5:
NiSbPb2 | PBEsol | optimized geometry

a = 3.471 Å, b = 3.471 Å, c = 9.247 Å
α = 79.18°, β = 79.18°, γ = 60.00°
Fractional positions:
Sb  0.500  0.500  0.500
Ni  0.000  0.000  0.000
Pb  0.731  0.731  0.806
Pb  0.269  0.269  0.194

Calculated values
Uncorrected energy (Ry/atom): -0.3294
Magnetization (μB/f.u.): 0.00
ρ (g/cm³): 10.48
Density of states at the Fermi level (states/eV per cell): 2.157

=====

Entry 6:
Ni2Sb2Pb | PBEsol | optimized geometry

a = 4.378 Å, b = 4.378 Å, c = 6.175 Å
α = 110.76°, β = 110.76°, γ = 90.00°
Fractional positions:
Sb  0.638  0.638  0.276
Sb  0.362  0.362  0.724
Ni  0.250  0.750  0.500
Ni  0.750  0.250  0.500
Pb  0.000  0.000  0.000

Calculated values
Uncorrected energy (Ry/atom): -0.3743
Magnetization (μB/f.u.): 0.00
ρ (g/cm³): 9.21
Density of states at the Fermi level (states/eV per cell): 2.511

=====

Entry 7:
NiSbPb2 | PBEsol | optimized geometry

a = 3.485 Å, b = 3.485 Å, c = 9.295 Å
α = 79.20°, β = 79.20°, γ = 60.00°
Fractional positions:
Ni  0.244  0.244  0.267
Pb  0.980  0.980  0.060
Pb  0.752  0.752  0.743
Sb  0.523  0.523  0.430

Calculated values
Uncorrected energy (Ry/atom): -0.3417
Magnetization (μB/f.u.): 0.00
ρ (g/cm³): 10.35
Density of states at the Fermi level (states/eV per cell): 2.064

=====

Entry 8:
Ni2SbPb | PBEsol | optimized geometry

a = 3.250 Å, b = 4.583 Å, c = 4.583 Å
α = 90.07°, β = 91.27°, γ = 91.27°
Fractional positions:
Pb  0.500  0.000  0.000
Ni  0.000  0.000  0.500
Ni  0.000  0.500  0.000
Sb  0.500  0.500  0.500

Calculated values
Uncorrected energy (Ry/atom): -0.3681
Magnetization (μB/f.u.): 0.00
ρ (g/cm³): 10.86
Density of states at the Fermi level (states/eV per cell): 2.809

=====

Entry 9:
ScNiPb2 | PBEsol | optimized geometry

a = 3.435 Å, b = 3.435 Å, c = 7.170 Å
α = 90.00°, β = 90.00°, γ = 101.47°
Each line ends with the local moment (μB).
Fractional positions:
Pb  0.000  0.000  0.782  0.00
Pb  0.000  0.000  0.218  0.00
Sc  0.500  0.500  0.500  0.10
Ni  0.500  0.500  0.000  0.04

Calculated values
Magnetization (μB/f.u.): 0.22
Polymorph energy (0 for the lowest one) (eV per formula unit): 0.000
Energy of formation (eV/atom): -0.02
ρ (g/cm³): 10.38
Density of states at the Fermi level (states/eV per cell): 4.950

=====

Entry 10:
ScNi2Pb2 | PBEsol | optimized geometry

a = 4.064 Å, b = 4.064 Å, c = 6.542 Å
α = 108.10°, β = 108.10°, γ = 90.00°
Fractional positions:
Pb  0.623  0.623  0.245
Pb  0.377  0.377  0.755
Ni  0.750  0.250  0.500
Ni  0.250  0.750  0.500
Sc  0.000  0.000  0.000

Calculated values
Magnetization (μB/f.u.): 0.01
Energy of formation (eV/atom): 0.09
ρ (g/cm³): 9.87
Density of states at the Fermi level (states/eV per cell): 5.920

=====

Entry 11:
ScNi4Pb | PBEsol | optimized geometry

a = 4.861 Å, b = 4.861 Å, c = 4.861 Å
α = 60.00°, β = 60.00°, γ = 60.00°
Fractional positions:
Sc  0.000  0.000  0.000
Pb  0.750  0.750  0.750
Ni  0.375  0.375  0.876
Ni  0.375  0.375  0.375
Ni  0.375  0.876  0.375
Ni  0.876  0.375  0.375

Calculated values
Magnetization (μB/f.u.): 0.00
Energy of formation (eV/atom): -0.29
ρ (g/cm³): 9.96
Density of states at the Fermi level (states/eV per cell): 5.380

=====

Entry 12:
ScNiPb2 | PBEsol | optimized geometry

a = 4.885 Å, b = 4.872 Å, c = 4.885 Å
α = 59.91°, β = 90.00°, γ = 120.09°
Fractional positions:
Pb  0.750  0.500  0.750
Pb  0.250  0.500  0.250
Sc  0.500  0.000  0.500
Ni  0.000  0.000  0.000

Calculated values
Magnetization (μB/f.u.): 0.00
Polymorph energy (0 for the lowest one) (eV per formula unit): 0.191
Energy of formation (eV/atom): 0.03
ρ (g/cm³): 10.49
Density of states at the Fermi level (states/eV per cell): 3.205